(1)
Entry from Alexandria via LeMat-Bulk: a geometry-optimized Pm4Ni2Pb5 structure (PBE-GGA).

a = 3.710 Å, b = 8.223 Å, c = 9.739 Å
α = 94.07°, β = 90.00°, γ = 90.00°
Element x y z (fractional)
Pb (0.000, 0.143, 0.137)
Pb (0.000, 0.500, 0.000)
Pb (0.000, 0.542, 0.336)
Pb (0.000, 0.458, 0.664)
Pb (0.000, 0.857, 0.863)
Pm (0.500, 0.796, 0.568)
Pm (0.500, 0.204, 0.432)
Pm (0.500, 0.806, 0.161)
Pm (0.500, 0.194, 0.839)
Ni (0.000, 0.069, 0.625)
Ni (0.000, 0.931, 0.375)

DOS(E_F): 7.29 states/eV/cell
ΔH_f (0 K): -0.41 eV per atom

=====

(2)
Entry from Alexandria via LeMat-Bulk: a geometry-optimized Pm3NiPb3 structure (PBE-GGA).

a = 4.564 Å, b = 6.242 Å, c = 14.805 Å
α = 84.79°, β = 81.13°, γ = 68.56°
Element x y z (fractional)
Pb (0.972, 0.816, 0.240)
Pb (0.864, 0.196, 0.077)
Pb (0.136, 0.804, 0.923)
Pb (0.845, 0.770, 0.539)
Pb (0.028, 0.184, 0.760)
Pb (0.155, 0.230, 0.461)
Pm (0.593, 0.735, 0.080)
Pm (0.476, 0.664, 0.384)
Pm (0.407, 0.265, 0.920)
Pm (0.741, 0.757, 0.761)
Pm (0.524, 0.336, 0.616)
Pm (0.259, 0.243, 0.239)
Ni (0.761, 0.092, 0.386)
Ni (0.239, 0.908, 0.614)

DOS(E_F): 10.64 states/eV/cell
ΔH_f (0 K): -0.48 eV per atom

=====

(3)
Entry from Alexandria via LeMat-Bulk: a geometry-optimized Pm4NiPb2 structure (PBE-GGA).

a = 5.048 Å, b = 5.048 Å, c = 9.319 Å
α = 105.72°, β = 105.72°, γ = 90.00°
Element x y z (fractional)
Pm (0.825, 0.825, 0.649)
Pm (0.175, 0.175, 0.351)
Pm (0.500, 0.000, 0.000)
Pm (0.000, 0.500, 0.000)
Ni (0.000, 0.000, 0.000)
Pb (0.638, 0.638, 0.277)
Pb (0.362, 0.362, 0.723)

DOS(E_F): 5.07 states/eV/cell
ΔE to the lowest computed polymorph: 52 meV/atom
ΔH_f (0 K): -0.36 eV per atom

=====

(4)
Entry from Alexandria via LeMat-Bulk: a geometry-optimized Pm2Ni3Pb structure (PBE-GGA).

a = 5.940 Å, b = 5.940 Å, c = 8.343 Å
α = 109.06°, β = 109.06°, γ = 94.75°
Element x y z (fractional)
Ni (0.842, 0.842, 0.683)
Ni (0.158, 0.158, 0.317)
Ni (0.845, 0.315, 0.160)
Ni (0.155, 0.685, 0.840)
Ni (0.315, 0.845, 0.160)
Ni (0.685, 0.155, 0.840)
Pm (0.227, 0.227, 0.000)
Pm (0.750, 0.250, 0.500)
Pm (0.250, 0.750, 0.500)
Pm (0.773, 0.773, 0.000)
Pb (0.337, 0.337, 0.674)
Pb (0.663, 0.663, 0.326)

DOS(E_F): 7.25 states/eV/cell
ΔH_f (0 K): -0.25 eV per atom

=====

(5)
Entry from Alexandria via LeMat-Bulk: a geometry-optimized Pm5Ni2Pb structure (PBE-GGA).

a = 7.933 Å, b = 7.933 Å, c = 8.845 Å
α = 116.65°, β = 116.65°, γ = 90.00°
Element x y z (fractional)
Pm (0.500, 0.500, 0.000)
Pm (0.022, 0.522, 0.729)
Pm (0.293, 0.793, 0.271)
Pm (0.000, 0.000, 0.000)
Pm (0.478, 0.293, 0.271)
Pm (0.978, 0.478, 0.271)
Pm (0.207, 0.022, 0.729)
Pm (0.793, 0.978, 0.271)
Pm (0.707, 0.207, 0.729)
Pm (0.522, 0.707, 0.729)
Pb (0.250, 0.250, 0.500)
Pb (0.750, 0.750, 0.500)
Ni (0.628, 0.128, 0.000)
Ni (0.128, 0.372, 0.000)
Ni (0.872, 0.628, 0.000)
Ni (0.372, 0.872, 0.000)

DOS(E_F): 16.18 states/eV/cell
ΔH_f (0 K): -0.33 eV per atom

=====

(6)
Entry from Alexandria via LeMat-Bulk: a geometry-optimized Pm4NiPb3 structure (PBE-GGA).

a = 4.458 Å, b = 4.545 Å, c = 11.551 Å
α = 90.00°, β = 90.00°, γ = 90.00°
Element x y z (fractional)
Ni (0.500, 0.500, 0.079)
Pm (0.000, 0.500, 0.886)
Pm (0.500, 0.000, 0.638)
Pm (0.500, 0.500, 0.336)
Pm (0.000, 0.000, 0.133)
Pb (0.500, 0.000, 0.921)
Pb (0.000, 0.000, 0.406)
Pb (0.000, 0.500, 0.600)

DOS(E_F): 6.12 states/eV/cell
ΔH_f (0 K): -0.42 eV per atom

=====

(7)
Entry from Alexandria via LeMat-Bulk: a geometry-optimized PmPrNiPb structure (PBE-GGA).

a = 5.330 Å, b = 5.330 Å, c = 5.330 Å
α = 60.00°, β = 60.00°, γ = 60.00°
Element x y z (fractional)
Ni (0.750, 0.750, 0.750)
Pr (0.500, 0.500, 0.500)
Pb (0.250, 0.250, 0.250)
Pm (0.000, 0.000, 0.000)

DOS(E_F): 2.06 states/eV/cell
ΔH_f (0 K): -0.25 eV per atom

=====

(8)
Entry from Alexandria via LeMat-Bulk: a geometry-optimized PmNiPtPb structure (PBE-GGA).

a = 4.877 Å, b = 4.877 Å, c = 4.877 Å
α = 60.00°, β = 60.00°, γ = 60.00°
Element x y z (fractional)
Pb (0.500, 0.500, 0.500)
Pt (0.750, 0.750, 0.750)
Ni (0.250, 0.250, 0.250)
Pm (0.000, 0.000, 0.000)

DOS(E_F): 2.04 states/eV/cell
ΔH_f (0 K): -0.43 eV per atom

=====

(9)
Entry from Alexandria via LeMat-Bulk: a geometry-optimized PmPuNiPb structure (PBE-GGA).

a = 5.250 Å, b = 5.250 Å, c = 5.250 Å
α = 60.00°, β = 60.00°, γ = 60.00°
Element x y z (fractional)
Pm (0.500, 0.500, 0.500)
Ni (0.750, 0.750, 0.750)
Pu (0.000, 0.000, 0.000)
Pb (0.250, 0.250, 0.250)

DOS(E_F): 11.64 states/eV/cell
ΔH_f (0 K): -0.04 eV per atom

=====

(10)
Entry from Alexandria via LeMat-Bulk: a geometry-optimized PmNiRhPb structure (PBE-GGA).

a = 4.801 Å, b = 4.801 Å, c = 4.801 Å
α = 60.00°, β = 60.00°, γ = 60.00°
Element x y z (fractional)
Pm (0.000, 0.000, 0.000)
Ni (0.250, 0.250, 0.250)
Pb (0.500, 0.500, 0.500)
Rh (0.750, 0.750, 0.750)

DOS(E_F): 3.52 states/eV/cell
ΔH_f (0 K): -0.31 eV per atom

=====

(11)
Entry from Alexandria via LeMat-Bulk: a geometry-optimized PmScNiPb structure (PBE-GGA).

a = 5.090 Å, b = 5.090 Å, c = 5.090 Å
α = 60.00°, β = 60.00°, γ = 60.00°
Element x y z (fractional)
Pb (0.250, 0.250, 0.250)
Pm (0.000, 0.000, 0.000)
Sc (0.500, 0.500, 0.500)
Ni (0.750, 0.750, 0.750)

DOS(E_F): 2.47 states/eV/cell
ΔH_f (0 K): -0.25 eV per atom

=====

What is the formula in the eighth record? PmNiPtPb

=====

Which of these has the highest ΔH_f (0 K)? PmPuNiPb